# 1
A relaxed ErZn6Cu4 crystal. Source: Alexandria via LeMat-Bulk, functional PBE.

Values from the calculation:
Formation enthalpy at 0 K = -0.06 eV per atom

Lattice parameters (Å, degrees): 6.312 6.312 9.173 90.00 90.00 90.00
Space group I-42m (No. 121)
Symmetry-distinct sites (fractional):
Er: 0.000 0.000 0.000 (multiplicity 2)
Zn: 0.000 0.500 0.000 (multiplicity 4)
Zn: 0.190 0.190 0.705 (multiplicity 8)
Cu: 0.165 0.165 0.425 (multiplicity 8)

# 2
A relaxed Er2Zn5Cu4 crystal. Source: Alexandria via LeMat-Bulk, functional PBE.

Values from the calculation:
Formation enthalpy at 0 K = -0.25 eV per atom

Lattice parameters (Å, degrees): 5.217 8.624 16.274 90.00 90.00 90.00
Space group Fmmm (No. 69)
Symmetry-distinct sites (fractional):
Er: 0.000 0.000 0.131 (multiplicity 8)
Zn: 0.000 0.000 0.500 (multiplicity 4)
Zn: 0.250 0.250 0.000 (multiplicity 8)
Zn: 0.250 0.250 0.250 (multiplicity 8)
Cu: 0.000 0.156 0.370 (multiplicity 16)

# 3
A relaxed Er2Zn16Cu crystal. Source: Alexandria via LeMat-Bulk, functional PBE.

Values from the calculation:
Formation enthalpy at 0 K = -0.22 eV per atom

Lattice parameters (Å, degrees): 8.9181 8.9181 13.1154 90.00 90.00 120.00
Space group R3m (No. 160, hexagonal axes)
Symmetry-distinct sites (fractional):
Er: 0.0000 0.0000 0.0000 (multiplicity 3)
Er: 0.0000 0.0000 0.3319 (multiplicity 3)
Zn: 0.0000 0.0000 0.7639 (multiplicity 3)
Zn: 0.0000 0.2951 0.6642 (multiplicity 18)
Zn: 0.0055 0.5027 0.1645 (multiplicity 9)
Zn: 0.0066 0.5033 0.8161 (multiplicity 9)
Zn: 0.1723 0.3447 0.8470 (multiplicity 9)
Cu: 0.0000 0.0000 0.5646 (multiplicity 3)

# 4
A relaxed Er4Zn3Cu crystal. Source: Alexandria via LeMat-Bulk, functional PBE.

Values from the calculation:
Formation enthalpy at 0 K = -0.33 eV per atom
Energy above the most stable polymorph in this dataset = 0 kJ/mol of formula units

Lattice parameters (Å, degrees): 3.506 3.506 14.102 90.00 90.00 90.00
Space group P4/mmm (No. 123)
Symmetry-distinct sites (fractional):
Er: 0.000 0.000 0.120 (multiplicity 2)
Er: 0.000 0.000 0.373 (multiplicity 2)
Zn: 0.500 0.500 0.248 (multiplicity 2)
Zn: 0.500 0.500 0.500 (multiplicity 1)
Cu: 0.500 0.500 0.000 (multiplicity 1)

How do the records compare in mass density? In the order shown, they have 7.4 8.3 8.0 8.9 g cm⁻³.